VASP calculation (PBE) on a relaxed SrScS2 crystal.

Magnetic moment ... 0.00 μB per cell
VASP energy ... -5.706 eV/atom
Uncorrected formation energy ... -1639 meV per atom

Cell: 7.466 7.466 7.466 Å, 130.16 130.16 73.15°
Positions (direct):
Sr 0.000 0.000 0.000
Sr 0.750 0.250 0.500
Sc 0.250 0.750 0.500
Sc 0.500 0.500 0.000
S 0.176 0.625 0.051
S 0.375 0.426 0.551
S 0.574 0.125 0.949
S 0.875 0.824 0.449